First-principles (GGA-PBE) data for a relaxed structure of NdU2Se6, as listed in the Alexandria database.

Cell lengths 5.4352, 7.5463, 8.0709 Å; angles 73.67, 70.32, 68.89 degrees
Last column: nearest neighbours and their distance in Å.
Element x y z (fractional)
Nd: 0.0000 0.5000 0.5000  8 Se 3.00-3.24
U: 0.1820 0.7393 0.8966  6 Se 2.65-2.90
U: 0.8180 0.2607 0.1034  6 Se 2.65-2.90
Se: 0.7373 0.6432 0.8823  3 U 2.81-2.90
Se: 0.2627 0.3568 0.1177  3 U 2.81-2.90
Se: 0.9581 0.8617 0.2222  2 U 2.76-2.79, 1 Nd 3.00
Se: 0.3674 0.7116 0.5537  1 U 2.65
Se: 0.0419 0.1383 0.7778  2 U 2.76-2.79, 1 Nd 3.00
Se: 0.6326 0.2884 0.4463  1 U 2.65

Calculated values
E	-6.556	eV per atom
formation energy without anion corrections	-1195	meV per atom

=====

First-principles (GGA-PBE) data for a relaxed structure of NdU5Se6, as listed in the Alexandria database.

Cell lengths 6.9277, 6.9277, 7.3657 Å; angles 99.06, 99.06, 120.19 degrees
Last column: nearest neighbours and their distance in Å.
Element x y z (fractional)
U: 0.8392 0.1608 0.5000  6 Se 2.88-2.90
U: 0.6688 0.3312 0.0000  6 Se 2.88-2.89
U: 0.5000 0.5000 0.5000  6 Se 2.86-2.89
U: 0.3312 0.6688 0.0000  6 Se 2.88-2.89
U: 0.1608 0.8392 0.5000  6 Se 2.88-2.90
Nd: 0.0000 0.0000 0.0000  6 Se 2.93-2.96
Se: 0.4263 0.0859 0.2554  5 U 2.88-2.90, 1 Nd 2.96
Se: 0.9141 0.5737 0.7446  5 U 2.88-2.90, 1 Nd 2.96
Se: 0.2597 0.2597 0.7527  5 U 2.86-2.88, 1 Nd 2.93
Se: 0.7403 0.7403 0.2473  5 U 2.86-2.88, 1 Nd 2.93
Se: 0.0859 0.4263 0.2554  5 U 2.88-2.90, 1 Nd 2.96
Se: 0.5737 0.9141 0.7446  5 U 2.88-2.90, 1 Nd 2.96

Calculated values
E	-7.966	eV per atom
formation energy without anion corrections	-1123	meV per atom

=====

First-principles (GGA-PBE) data for a relaxed structure of Nd2USe5, as listed in the Alexandria database.

Cell lengths 5.7197, 7.6195, 13.9226 Å; angles 90.00, 90.00, 112.04 degrees
Last column: nearest neighbours and their distance in Å.
Element x y z (fractional)
Nd: 0.8538 0.7076 0.4399  6 Se 2.88-3.10
Nd: 0.8538 0.7076 0.0601  6 Se 2.88-3.10
Nd: 0.1462 0.2924 0.5601  6 Se 2.88-3.10
Nd: 0.1462 0.2924 0.9399  6 Se 2.88-3.10
U: 0.8029 0.6059 0.7500  6 Se 2.75-2.92
U: 0.1971 0.3941 0.2500  6 Se 2.75-2.92
Se: 0.9520 0.9040 0.8771  1 U 2.75, 2 Nd 2.88-2.90
Se: 0.9520 0.9040 0.6229  1 U 2.75, 2 Nd 2.88-2.90
Se: 0.3125 0.6250 0.4211  1 U 2.89, 3 Nd 2.93-3.04
Se: 0.3125 0.6250 0.0789  1 U 2.89, 3 Nd 2.93-3.04
Se: 0.7396 0.4791 0.2500  2 U 2.92, 2 Nd 3.10
Se: 0.2604 0.5209 0.7500  2 U 2.92, 2 Nd 3.10
Se: 0.6875 0.3750 0.5789  1 U 2.89, 3 Nd 2.93-3.04
Se: 0.6875 0.3750 0.9211  1 U 2.89, 3 Nd 2.93-3.04
Se: 0.0480 0.0960 0.1229  1 U 2.75, 2 Nd 2.88-2.90
Se: 0.0480 0.0960 0.3771  1 U 2.75, 2 Nd 2.88-2.90

Calculated values
E	-6.318	eV per atom
formation energy without anion corrections	-1537	meV per atom
ΔE to the lowest computed polymorph	0.0864	eV/atom

=====

First-principles (GGA-PBE) data for a relaxed structure of Nd2VSe5, as listed in the Alexandria database.

Cell lengths 7.1456, 7.1456, 6.4435 Å; angles 123.66, 123.65, 90.00 degrees
Last column: nearest neighbours and their distance in Å.
Element x y z (fractional)
Nd: 0.2871 0.7867 0.5734  8 Se 3.12-3.33
Nd: 0.7867 0.2870 0.5734  8 Se 3.13-3.33
V: 0.9543 0.9543 0.9088  1 Se 2.16
Se: 0.7782 0.2545 0.0326  1 V 2.46
Se: 0.2543 0.2542 0.0324  1 V 2.46
Se: 0.7781 0.7781 0.0327  1 V 2.46
Se: 0.2544 0.7782 0.0325  1 V 2.46
Se: 0.6839 0.6840 0.3683  1 V 2.16

Calculated values
E	-5.691	eV per atom
formation energy without anion corrections	-1182	meV per atom

=====

First-principles (GGA-PBE) data for a relaxed structure of Nd2YSe4, as listed in the Alexandria database.

Cell lengths 4.0342, 7.2641, 14.1046 Å; angles 90.00, 90.00, 106.12 degrees
Last column: nearest neighbours and their distance in Å.
Element x y z (fractional)
Nd: 0.1301 0.2602 0.4284  6 Se 2.90-3.05
Nd: 0.8699 0.7398 0.9284  6 Se 2.90-3.05
Nd: 0.1301 0.2602 0.0716  6 Se 2.90-3.05
Nd: 0.8699 0.7398 0.5716  6 Se 2.90-3.05
Y: 0.6278 0.2555 0.7500  6 Se 2.89-2.97
Y: 0.3722 0.7445 0.2500  6 Se 2.89-2.97
Se: 0.7802 0.5604 0.1255  2 Y 2.97, 3 Nd 3.01-3.05
Se: 0.7802 0.5604 0.3745  2 Y 2.97, 3 Nd 3.01-3.05
Se: 0.2198 0.4396 0.8745  2 Y 2.97, 3 Nd 3.01-3.05
Se: 0.2198 0.4396 0.6255  2 Y 2.97, 3 Nd 3.01-3.05
Se: 0.9795 0.9591 0.7500  2 Y 2.89, 2 Nd 2.94
Se: 0.0205 0.0409 0.2500  2 Y 2.89, 2 Nd 2.94
Se: 0.5000 0.0000 0.0000  4 Nd 2.90
Se: 0.5000 0.0000 0.5000  4 Nd 2.90

Calculated values
E	-6.104	eV per atom
formation energy without anion corrections	-1827	meV per atom
ΔE to the lowest computed polymorph	0.0400	eV/atom

=====

First-principles (GGA-PBE) data for a relaxed structure of NdY2Se, as listed in the Alexandria database.

Cell lengths 3.7454, 3.7454, 10.6553 Å; angles 79.88, 79.88, 60.00 degrees
Last column: nearest neighbours and their distance in Å.
Element x y z (fractional)
Y: 0.1095 0.1095 0.6715  3 Se 2.81
Y: 0.8905 0.8905 0.3285  3 Se 2.81
Nd: 0.0000 0.0000 0.0000  2 Y 3.43, 6 Nd 3.75
Se: 0.5000 0.5000 0.5000  6 Y 2.81

Calculated values
E	-5.896	eV per atom
formation energy without anion corrections	-601	meV per atom
ΔE to the lowest computed polymorph	0.2287	eV/atom

=====

First-principles (GGA-PBE) data for a relaxed structure of Nd2Y3Se4, as listed in the Alexandria database.

Cell lengths 4.0583, 7.0644, 9.2315 Å; angles 74.61, 77.30, 73.31 degrees
Last column: nearest neighbours and their distance in Å.
Element x y z (fractional)
Nd: 0.5944 0.2174 0.5938  4 Se 2.95-3.00
Nd: 0.4056 0.7826 0.4062  4 Se 2.95-3.00
Y: 0.0000 0.0000 0.0000  6 Se 2.87-2.88
Y: 0.2025 0.3924 0.2027  5 Se 2.85-2.90
Y: 0.7975 0.6076 0.7973  5 Se 2.85-2.90
Se: 0.8043 0.0956 0.2957  3 Y 2.85-2.87, 3 Nd 2.95-2.97
Se: 0.1957 0.9044 0.7043  3 Y 2.85-2.87, 3 Nd 2.95-2.97
Se: 0.3946 0.3042 0.9065  5 Y 2.86-2.90, 1 Nd 3.00
Se: 0.6054 0.6958 0.0935  5 Y 2.86-2.90, 1 Nd 3.00

Calculated values
E	-6.335	eV per atom
formation energy without anion corrections	-1572	meV per atom

=====

First-principles (GGA-PBE) data for a relaxed structure of Nd3Y4Se8, as listed in the Alexandria database.

Cell lengths 8.2658, 8.2850, 8.2850 Å; angles 90.03, 119.89, 119.89 degrees
Last column: nearest neighbours and their distance in Å.
Element x y z (fractional)
Nd: 0.5000 0.5000 0.0000  6 Se 2.93
Nd: 0.5000 0.0000 0.5000  6 Se 2.93
Nd: 0.5000 0.5000 0.5000  6 Se 2.98
Y: 0.5000 0.0000 0.0000  6 Se 2.88
Y: 0.0000 0.5000 0.0000  6 Se 2.93
Y: 0.0000 0.0000 0.0000  6 Se 2.92-2.93
Y: 0.0000 0.0000 0.5000  6 Se 2.93
Se: 0.4988 0.2453 0.2453  2 Y 2.88-2.92, 3 Nd 2.93-2.98
Se: 0.0000 0.7502 0.2498  3 Y 2.93, 2 Nd 2.93
Se: 0.9921 0.2463 0.2463  4 Y 2.88-2.93, 1 Nd 2.98
Se: 0.5000 0.7541 0.2459  3 Y 2.88-2.93, 3 Nd 2.93-2.98
Se: 0.5000 0.2459 0.7541  3 Y 2.88-2.93, 3 Nd 2.93-2.98
Se: 0.0079 0.7537 0.7537  4 Y 2.88-2.93, 1 Nd 2.98
Se: 0.0000 0.2498 0.7502  3 Y 2.93, 2 Nd 2.93
Se: 0.5012 0.7547 0.7547  2 Y 2.88-2.92, 3 Nd 2.93-2.98

Calculated values
E	-6.390	eV per atom
formation energy without anion corrections	-1854	meV per atom

=====

First-principles (GGA-PBE) data for a relaxed structure of Nd2YSe4, as listed in the Alexandria database.

Cell lengths 8.3271, 8.2911, 8.2911 Å; angles 60.94, 59.86, 59.86 degrees
Last column: nearest neighbours and their distance in Å.
Element x y z (fractional)
Nd: 0.0000 0.0000 0.0000  6 Se 2.96-2.99
Nd: 0.0000 0.0000 0.5000  6 Se 2.95-3.00
Nd: 0.0000 0.5000 0.5000  6 Se 2.96-2.99
Nd: 0.5000 0.0000 0.5000  6 Se 2.95-3.00
Y: 0.5000 0.5000 0.0000  6 Se 2.86-2.92
Y: 0.0000 0.5000 0.0000  6 Se 2.86-2.92
Se: 0.2574 0.2499 0.2354  2 Y 2.92, 3 Nd 2.99-3.00
Se: 0.7426 0.2646 0.2501  2 Y 2.92, 3 Nd 2.99-3.00
Se: 0.2574 0.7354 0.7499  2 Y 2.92, 3 Nd 2.99-3.00
Se: 0.7426 0.7501 0.7646  2 Y 2.92, 3 Nd 2.99-3.00
Se: 0.7535 0.7462 0.2462  1 Y 2.86, 3 Nd 2.95-2.96
Se: 0.7460 0.2538 0.7538  1 Y 2.86, 3 Nd 2.95-2.96
Se: 0.2540 0.7462 0.2462  1 Y 2.86, 3 Nd 2.95-2.96
Se: 0.2465 0.2538 0.7538  1 Y 2.86, 3 Nd 2.95-2.96

Calculated values
E	-6.144	eV per atom
formation energy without anion corrections	-1867	meV per atom
ΔE to the lowest computed polymorph	0.0000	eV/atom

=====

First-principles (GGA-PBE) data for a relaxed structure of NdY4Se5, as listed in the Alexandria database.

Cell lengths 4.1087, 5.8150, 10.9226 Å; angles 105.44, 100.84, 90.00 degrees
Last column: nearest neighbours and their distance in Å.
Element x y z (fractional)
Nd: 0.0000 0.0000 0.0000  6 Se 2.91-2.98
Y: 0.4009 0.4009 0.8019  6 Se 2.90-2.91
Y: 0.7979 0.7979 0.5957  6 Se 2.88-2.91
Y: 0.2021 0.2021 0.4043  6 Se 2.88-2.91
Y: 0.5991 0.5991 0.1981  6 Se 2.90-2.91
Se: 0.6047 0.1047 0.2095  4 Y 2.88-2.91, 2 Nd 2.98
Se: 0.8012 0.3012 0.6024  6 Y 2.90-2.91
Se: 0.1988 0.6988 0.3976  6 Y 2.90-2.91
Se: 0.0000 0.5000 0.0000  4 Y 2.90, 2 Nd 2.91
Se: 0.3953 0.8953 0.7905  4 Y 2.88-2.91, 2 Nd 2.98

Calculated values
E	-6.578	eV per atom
formation energy without anion corrections	-1773	meV per atom